The following is a DFT calculation (GGA-PBE) of a geometry-optimized Ba3Pr structure.

As for the volume: 53.50 A^3/atom. The space group is Pmm2. The theoretical density is 4.3 g/cm³. The energy of formation comes out at 0.2456 eV/atom.

a b c (Å): 4.1107 3.9027 13.3384
angles (deg): 90.00 90.00 90.00
Closest atoms and distances in Å follow each position.
Atoms (fractional coordinates):
Ba: 0.5000 0.0000 0.7261  2 Pr 3.80, 4 Ba 3.90-4.11
Ba: 0.0000 0.5000 0.4604  6 Ba 3.90-4.25
Ba: 0.5000 0.5000 0.1813  6 Ba 3.90-4.25, 4 Pr 4.04
Pr: 0.0000 0.0000 0.9656  6 Ba 3.80-4.04, 4 Pr 3.90-4.11


The following is a DFT calculation (GGA-PBE) of a geometry-optimized Ba2PrPt structure.

As for the volume: 44.21 A^3/atom. The space group is R-3m. The theoretical density is 5.7 g/cm³. The energy of formation comes out at -0.1063 eV/atom.

a b c (Å): 4.1857 4.1857 11.9028
angles (deg): 79.87 79.87 60.00
Closest atoms and distances in Å follow each position.
Atoms (fractional coordinates):
Pt: 0.5000 0.5000 0.5000  6 Ba 3.09
Ba: 0.8883 0.8883 0.3350  3 Pt 3.09
Ba: 0.1117 0.1117 0.6650  3 Pt 3.09
Pr: 0.0000 0.0000 0.0000  2 Ba 3.90, 6 Pr 4.19


The following is a DFT calculation (GGA-PBE) of a geometry-optimized BaPrPt structure.

As for the volume: 40.41 A^3/atom. The space group is P3m1. The theoretical density is 6.5 g/cm³. The energy of formation comes out at -0.6244 eV/atom.

a b c (Å): 7.1579 4.4222 4.4222
angles (deg): 120.00 90.00 90.00
Closest atoms and distances in Å follow each position.
Atoms (fractional coordinates):
Ba: 0.7583 0.6667 0.3333  3 Pt 3.19
Pr: 0.2155 0.3333 0.6667  3 Pt 2.89
Pt: 0.0261 0.0000 0.0000  3 Pr 2.89, 3 Ba 3.19


The following is a DFT calculation (GGA-PBE) of a geometry-optimized BaPrPt2 structure.

As for the volume: 26.52 A^3/atom. The space group is P4/mmm. The theoretical density is 10.5 g/cm³. The energy of formation comes out at -0.8832 eV/atom.

a b c (Å): 3.7330 3.7330 7.6133
angles (deg): 90.00 90.00 90.00
Closest atoms and distances in Å follow each position.
Atoms (fractional coordinates):
Pt: 0.0000 0.0000 0.7932  4 Pr 3.07, 1 Pt 3.15
Pt: 0.0000 0.0000 0.2068  4 Pr 3.07, 1 Pt 3.15
Pr: 0.5000 0.5000 0.0000  8 Pt 3.07
Ba: 0.5000 0.5000 0.5000  8 Pt 3.46, 4 Ba 3.73, 2 Pr 3.81


The following is a DFT calculation (GGA-PBE) of a geometry-optimized BaPrPt2 structure.

As for the volume: 25.98 A^3/atom. The space group is Fm-3m. The theoretical density is 10.7 g/cm³. The energy of formation comes out at -0.7658 eV/atom.

a b c (Å): 5.2774 5.2774 5.2774
angles (deg): 60.00 60.00 60.00
Closest atoms and distances in Å follow each position.
Atoms (fractional coordinates):
Pr: 0.0000 0.0000 0.0000  8 Pt 3.23
Pt: 0.7500 0.7500 0.7500  4 Ba 3.23, 4 Pr 3.23
Pt: 0.2500 0.2500 0.2500  4 Ba 3.23, 4 Pr 3.23
Ba: 0.5000 0.5000 0.5000  8 Pt 3.23


The following is a DFT calculation (GGA-PBE) of a geometry-optimized BaPrPt4 structure.

As for the volume: 20.92 A^3/atom. The space group is F-43m. The theoretical density is 14.0 g/cm³. The energy of formation comes out at -0.8451 eV/atom.

a b c (Å): 5.6198 5.6198 5.6198
angles (deg): 60.00 60.00 60.00
Closest atoms and distances in Å follow each position.
Atoms (fractional coordinates):
Pt: 0.1258 0.6247 0.6247  6 Pt 2.80-2.82
Pt: 0.6247 0.1258 0.6247  6 Pt 2.80-2.82
Pt: 0.6247 0.6247 0.1258  6 Pt 2.80-2.82
Pt: 0.6247 0.6247 0.6247  6 Pt 2.80-2.82
Ba: 0.0000 0.0000 0.0000  12 Pt 3.30, 4 Pr 3.44
Pr: 0.2500 0.2500 0.2500  12 Pt 3.29, 4 Ba 3.44


The following is a DFT calculation (GGA-PBE) of a geometry-optimized BaPrPt2 structure.

As for the volume: 30.17 A^3/atom. The space group is R3m. The theoretical density is 9.2 g/cm³. The energy of formation comes out at -0.7755 eV/atom.

a b c (Å): 4.2735 4.2735 8.0197
angles (deg): 74.55 74.55 60.00
Closest atoms and distances in Å follow each position.
Atoms (fractional coordinates):
Pr: 0.6682 0.6682 0.9955  6 Pt 2.98-2.99
Ba: 0.4968 0.4968 0.5096  6 Pt 3.20-3.33
Pt: 0.0741 0.0741 0.7776  3 Pr 2.98, 3 Ba 3.20
Pt: 0.2609 0.2609 0.2173  3 Pr 2.99, 3 Ba 3.33


The following is a DFT calculation (GGA-PBE) of a geometry-optimized BaPrPt2 structure.

As for the volume: 30.00 A^3/atom. The space group is R-3m. The theoretical density is 9.3 g/cm³. The energy of formation comes out at -0.8326 eV/atom.

a b c (Å): 4.3672 4.3672 7.6896
angles (deg): 73.50 73.50 60.00
Closest atoms and distances in Å follow each position.
Atoms (fractional coordinates):
Pr: 0.0000 0.0000 0.0000  6 Pt 2.98
Pt: 0.7394 0.7394 0.7819  3 Pr 2.98, 3 Ba 3.25
Pt: 0.2606 0.2606 0.2181  3 Pr 2.98, 3 Ba 3.25
Ba: 0.5000 0.5000 0.5000  6 Pt 3.25